This record from the Alexandria database describes a relaxed ZnGa2Cu5 crystal. The functional is PBE-GGA.

It has space group I4mm (No. 107), with a = 5.5396 Å, b = 5.5396 Å, c = 6.7798 Å, α = 90.00°, β = 90.00° and γ = 90.00°. The inequivalent atoms are Zn at (0.0000, 0.0000, 0.0000), Ga at (0.0000, 0.5000, 0.0004), Cu at (0.0000, 0.0000, 0.5009) and Cu at (0.2498, 0.2498, 0.2505).

Its energy relative to the lowest polymorph listed for this composition is 0.00 eV/f.u.

***

This record from the Alexandria database describes a relaxed Zn2GaCu2 crystal. The functional is PBE-GGA.

It has space group P4/mbm (No. 127), with a = 7.4607 Å, b = 7.4607 Å, c = 2.6315 Å, α = 90.00°, β = 90.00° and γ = 90.00°. The inequivalent atoms are Zn at (0.1768, 0.3232, 0.0000), Ga at (0.0000, 0.0000, 0.5000) and Cu at (0.1190, 0.6190, 0.5000).

Its raw total energy is -2.7653 eV per atom.

***

This record from the Alexandria database describes a relaxed Zn2GaCu12 crystal. The functional is PBE-GGA.

It has space group P4/nbm (No. 125, origin choice 2), with a = 4.8396 Å, b = 4.8396 Å, c = 17.6890 Å, α = 90.00°, β = 90.00° and γ = 90.00°. The inequivalent atoms are Zn at (0.2500, 0.7500, 0.2230), Ga at (0.2500, 0.7500, 0.5000), Cu at (0.9999, 0.0001, 0.3932), Cu at (0.0749, 0.5749, 0.0614), Cu at (0.2500, 0.2500, 0.1583) and Cu at (0.2500, 0.2500, 0.2909).

Its raw total energy is -3.4909 eV per atom.

***

This record from the Alexandria database describes a relaxed Zn6Ga2Cu crystal. The functional is PBE-GGA.

It has space group C2/m (No. 12), with a = 12.7436 Å, b = 6.1812 Å, c = 4.2087 Å, α = 90.00°, β = 108.70° and γ = 90.00°. The inequivalent atoms are Zn at (0.0000, 0.2201, 0.0000), Zn at (0.1599, 0.2503, 0.6546), Ga at (0.1656, 0.5000, 0.1599) and Cu at (0.0000, 0.0000, 0.5000).

Its raw total energy is -1.9229 eV per atom.

***

This record from the Alexandria database describes a relaxed Zn2GaCu5 crystal. The functional is PBE-GGA.

It has space group P4/mmm (No. 123), with a = 5.5288 Å, b = 5.5288 Å, c = 4.3712 Å, α = 90.00°, β = 90.00° and γ = 90.00°. The inequivalent atoms are Zn at (0.0000, 0.5000, 0.0000), Ga at (0.0000, 0.0000, 0.5000), Cu at (0.0000, 0.0000, 0.0000) and Cu at (0.2902, 0.2902, 0.5000).

Its energy relative to the lowest polymorph listed for this composition is 4.42 eV/f.u.

***

This record from the Alexandria database describes a relaxed Zn2GaCu2 crystal. The functional is PBE-GGA.

It has space group I4/mmm (No. 139), with a = 3.5115 Å, b = 3.5115 Å, c = 12.4373 Å, α = 90.00°, β = 90.00° and γ = 90.00°. The inequivalent atoms are Zn at (0.0000, 0.5000, 0.2500), Ga at (0.0000, 0.0000, 0.0000) and Cu at (0.0000, 0.0000, 0.4025).

Its raw total energy is -2.6486 eV per atom.

***

This record from the Alexandria database describes a relaxed ZnGaCu3 crystal. The functional is PBE-GGA.

It has space group P2_1/m (No. 11), with a = 4.1755 Å, b = 5.3032 Å, c = 6.4105 Å, α = 90.00°, β = 108.75° and γ = 90.00°. The inequivalent atoms are Zn at (0.1219, 0.2500, 0.2436), Ga at (0.1205, 0.7500, 0.2421), Cu at (0.3156, 0.5013, 0.6309) and Cu at (0.4994, 0.2500, 0.9981).

Its energy relative to the lowest polymorph listed for this composition is 0.00 eV/f.u.

***

This record from the Alexandria database describes a relaxed Zn5Ga2Cu12 crystal. The functional is PBE-GGA.

It has space group C2/m (No. 12), with a = 12.5761 Å, b = 8.3362 Å, c = 4.8552 Å, α = 90.00°, β = 101.68° and γ = 90.00°. The inequivalent atoms are Zn at (0.0000, 0.0000, 0.0000), Zn at (0.1555, 0.5000, 0.3882), Zn at (0.2271, 0.0000, 0.9949), Ga at (0.0000, 0.2235, 0.5000), Cu at (0.0530, 0.5000, 0.7933), Cu at (0.1014, 0.2538, 0.1049), Cu at (0.1418, 0.0000, 0.4370) and Cu at (0.1999, 0.2588, 0.7029).

Its energy relative to the lowest polymorph listed for this composition is 0.00 eV/f.u.